Record 1
The following is a PBE calculation of a geometry-optimized Nb2V2C3 structure, from Alexandria.

Calculated values
ΔH_f (0 K) = -0.5374 eV per atom

Cell: 3.0884 5.4408 5.2516 Å, 105.68 89.99 106.51°
Closest atoms and distances in Å follow each position.
Fractional positions:
C1 0.7523 0.5047 0.2567  3 V 2.03-2.04, 3 Nb 2.17-2.25
C2 0.0000 0.0000 0.0000  2 V 2.03, 4 Nb 2.22-2.23
C3 0.2477 0.4953 0.7433  3 V 2.03-2.04, 3 Nb 2.17-2.25
Nb1 0.6180 0.2344 0.8583  5 C 2.17-2.25
Nb2 0.3820 0.7656 0.1417  5 C 2.17-2.25
V1 0.1469 0.2944 0.3496  4 C 2.03-2.04
V2 0.8531 0.7056 0.6504  4 C 2.03-2.04



Record 2
The following is a PBE calculation of a geometry-optimized MgTlTe2 structure, from Alexandria.

Calculated values
Uncorrected energy = -2.7448 eV per atom

Cell: 4.3709 7.3628 4.1274 Å, 90.00 90.00 90.00°
Closest atoms and distances in Å follow each position.
Fractional positions:
Te1 0.0000 0.0000 0.0000  4 Tl 3.01
Te2 0.5000 0.5000 0.0000  4 Mg 3.01
Tl1 0.5000 0.0000 0.5000  4 Te 3.01
Mg1 0.0000 0.5000 0.5000  4 Te 3.01



Record 3
The following is a PBE calculation of a geometry-optimized Ca3TcGe structure, from Alexandria.

Calculated values
Excess energy over the best structure of this formula in the dataset = 0 meV per atom
ΔH_f (0 K) = 0.6134 eV per atom

Cell: 5.6027 5.6027 5.6027 Å, 90.00 90.00 90.00°
Closest atoms and distances in Å follow each position.
Fractional positions:
Tc1 0.5000 0.5000 0.5000  12 Ca 3.96
Ca1 0.5000 0.0000 0.0000  2 Ge 2.80
Ca2 0.0000 0.5000 0.0000  2 Ge 2.80
Ca3 0.0000 0.0000 0.5000  2 Ge 2.80
Ge1 0.0000 0.0000 0.0000  6 Ca 2.80



Record 4
The following is a PBE calculation of a geometry-optimized Pm2GeCl structure, from Alexandria.

Calculated values
Excess energy over the best structure of this formula in the dataset = 212 meV per atom

Cell: 5.1519 5.1519 5.1519 Å, 60.00 60.00 60.00°
Closest atoms and distances in Å follow each position.
Fractional positions:
Pm1 0.2500 0.2500 0.2500  4 Cl 3.15, 4 Ge 3.15
Pm2 0.7500 0.7500 0.7500  4 Ge 3.15, 4 Cl 3.15
Ge1 0.0000 0.0000 0.0000  8 Pm 3.15
Cl1 0.5000 0.5000 0.5000  8 Pm 3.15



Record 5
The following is a PBE calculation of a geometry-optimized ReAsS2Cl structure, from Alexandria.

Calculated values
Excess energy over the best structure of this formula in the dataset = 0 meV per atom

Cell: 4.5939 4.5939 4.9581 Å, 90.00 90.00 90.00°
Closest atoms and distances in Å follow each position.
Fractional positions:
Cl1 0.0000 0.0000 0.5000  2 Re 2.48
S1 0.0000 0.5000 0.0000  2 Re 2.30
S2 0.5000 0.0000 0.0000  2 Re 2.30
As1 0.5000 0.5000 0.5000  4 Cl 3.25, 8 S 3.38
Re1 0.0000 0.0000 0.0000  4 S 2.30, 2 Cl 2.48



Record 6
The following is a PBE calculation of a geometry-optimized TbPa2TaC4 structure, from Alexandria.

Calculated values
ΔH_f (0 K) = -0.4197 eV per atom

Cell: 6.9744 6.9744 7.0212 Å, 120.22 120.22 90.16°
Closest atoms and distances in Å follow each position.
Fractional positions:
C1 0.7476 0.7524 0.5192  2 Ta 2.37, 3 Pa 2.45-2.56, 1 Tb 2.50
C2 0.2738 0.7482 0.5110  1 Ta 2.34, 3 Pa 2.41-2.60, 2 Tb 2.52
C3 0.2524 0.2476 0.0192  2 Ta 2.37, 3 Pa 2.45-2.56, 1 Tb 2.50
C4 0.7262 0.2518 0.4890  1 Ta 2.34, 3 Pa 2.41-2.60, 2 Tb 2.52
C5 0.7518 0.2262 0.9890  1 Ta 2.34, 3 Pa 2.41-2.60, 2 Tb 2.52
C6 0.2482 0.7738 0.0110  1 Ta 2.34, 3 Pa 2.41-2.60, 2 Tb 2.52
C7 0.2524 0.2476 0.4808  2 Ta 2.37, 3 Pa 2.45-2.56, 1 Tb 2.50
C8 0.7476 0.7524 0.9808  2 Ta 2.37, 3 Pa 2.45-2.56, 1 Tb 2.50
Pa1 0.5000 0.0000 0.5000  6 C 2.41-2.45
Pa2 0.5000 0.0000 0.0000  6 C 2.41-2.45
Pa3 0.5000 0.5000 0.0000  6 C 2.56-2.60
Pa4 0.0000 0.0000 0.5000  6 C 2.56-2.60
Tb1 0.0000 0.5000 0.0000  6 C 2.50-2.52
Tb2 0.0000 0.5000 0.5000  6 C 2.50-2.52
Ta1 0.0000 0.0000 0.0000  6 C 2.34-2.37
Ta2 0.5000 0.5000 0.5000  6 C 2.34-2.37



Number 1: DOS at the Fermi energy 3.74 states/eV/cell. Number 2: DOS at the Fermi energy 1.88 states/eV/cell. Number 3: DOS at the Fermi energy 2.21 states/eV/cell. Number 4: DOS at the Fermi energy 2.39 states/eV/cell. Number 5: DOS at the Fermi energy 3.51 states/eV/cell. Number 6: DOS at the Fermi energy 9.93 states/eV/cell.